# 1
A plane-wave DFT calculation with PBE was carried out for crystalline Ag4AuBr at its relaxed geometry.

abc: 5.597 5.597 5.597
angles: 60.00 60.00 60.00
Fractional positions:
Ag: 0.873 0.376 0.376
Ag: 0.376 0.376 0.873
Ag: 0.376 0.873 0.376
Ag: 0.376 0.376 0.376
Au: 0.750 0.750 0.750
Br: 0.000 0.000 0.000

Values from the calculation:
The calculation puts the energy relative to the elements, uncorrected at 0.271 eV/atom. Its size of the total moment is 0.00 μB per cell. For the density of states at the Fermi level, the calculation gives 3.0 states/eV/f.u. The uncorrected energy is -14.73 eV per formula unit.

# 2
A plane-wave DFT calculation with PBE was carried out for crystalline Sm8Ga2Te at its relaxed geometry.

abc: 4.911 7.019 10.174
angles: 101.87 103.97 90.00
Fractional positions:
Sm: 0.402 0.531 0.804
Sm: 0.665 0.990 0.329
Sm: 0.788 0.672 0.575
Sm: 0.967 0.240 0.935
Sm: 0.212 0.328 0.425
Sm: 0.335 0.010 0.671
Sm: 0.598 0.469 0.196
Sm: 0.033 0.760 0.065
Ga: 0.813 0.250 0.627
Ga: 0.187 0.750 0.373
Te: 0.500 0.000 0.000

Values from the calculation:
The calculation puts the energy relative to the elements, uncorrected at -0.392 eV/atom. Its size of the total moment is 0.00 μB per cell. For the density of states at the Fermi level, the calculation gives 13.6 states/eV/f.u. The uncorrected energy is -51.26 eV per formula unit.

# 3
A plane-wave DFT calculation with PBE was carried out for crystalline La2ScAg2 at its relaxed geometry.

abc: 8.346 8.346 4.015
angles: 90.00 90.00 90.00
Fractional positions:
Sc: 0.000 0.000 0.000
Sc: 0.500 0.500 0.000
Ag: 0.376 0.876 0.000
Ag: 0.876 0.624 0.000
Ag: 0.624 0.124 0.000
Ag: 0.124 0.376 0.000
La: 0.178 0.678 0.500
La: 0.678 0.822 0.500
La: 0.822 0.322 0.500
La: 0.322 0.178 0.500

Values from the calculation:
The distance to the lowest polymorph of the same formula comes out at 0.000 eV per atom. The formation energy is -0.15 eV per atom. Its size of the total moment is 0.00 μB per cell. For the density of states at the Fermi level, the calculation gives 7.0 states/eV/f.u. The uncorrected energy is -22.66 eV per formula unit.

# 4
A plane-wave DFT calculation with PBE was carried out for crystalline Dy12P3H5 at its relaxed geometry.

abc: 12.933 12.933 12.933
angles: 109.47 109.47 109.47
Fractional positions:
P: 0.750 0.375 0.125
P: 0.875 0.750 0.125
P: 0.375 0.750 0.625
P: 0.250 0.125 0.375
P: 0.875 0.125 0.250
P: 0.375 0.625 0.250
P: 0.625 0.375 0.750
P: 0.125 0.875 0.750
P: 0.750 0.875 0.625
P: 0.625 0.250 0.375
P: 0.125 0.250 0.875
P: 0.250 0.625 0.875
H: 0.125 0.375 0.250
H: 0.000 0.500 0.000
H: 0.000 0.000 0.000
H: 0.375 0.250 0.125
H: 0.500 0.000 0.500
H: 0.500 0.500 0.000
H: 0.125 0.750 0.375
H: 0.750 0.125 0.875
H: 0.750 0.625 0.375
H: 0.375 0.125 0.750
H: 0.625 0.875 0.250
H: 0.500 0.500 0.500
H: 0.500 0.000 0.000
H: 0.000 0.000 0.500
H: 0.250 0.375 0.625
H: 0.250 0.875 0.125
H: 0.000 0.500 0.500
H: 0.875 0.250 0.625
H: 0.625 0.750 0.875
H: 0.875 0.625 0.750
Dy: 0.716 0.119 0.025
Dy: 0.309 0.525 0.407
Dy: 0.975 0.381 0.284
Dy: 0.525 0.216 0.119
Dy: 0.597 0.716 0.691
Dy: 0.975 0.593 0.191
Dy: 0.309 0.784 0.403
Dy: 0.093 0.903 0.119
Dy: 0.593 0.975 0.691
Dy: 0.716 0.597 0.191
Dy: 0.784 0.475 0.381
Dy: 0.809 0.907 0.025
Dy: 0.119 0.716 0.525
Dy: 0.381 0.407 0.097
Dy: 0.097 0.907 0.381
Dy: 0.403 0.119 0.593
Dy: 0.097 0.191 0.216
Dy: 0.475 0.691 0.093
Dy: 0.809 0.903 0.284
Dy: 0.119 0.403 0.093
Dy: 0.381 0.975 0.784
Dy: 0.593 0.619 0.403
Dy: 0.907 0.809 0.525
Dy: 0.784 0.309 0.903
Dy: 0.407 0.381 0.597
Dy: 0.093 0.191 0.475
Dy: 0.216 0.691 0.097
Dy: 0.191 0.097 0.716
Dy: 0.619 0.025 0.216
Dy: 0.881 0.597 0.907
Dy: 0.525 0.309 0.907
Dy: 0.597 0.881 0.407
Dy: 0.903 0.809 0.784
Dy: 0.903 0.093 0.619
Dy: 0.881 0.284 0.475
Dy: 0.191 0.093 0.975
Dy: 0.619 0.593 0.903
Dy: 0.407 0.025 0.309
Dy: 0.284 0.403 0.809
Dy: 0.216 0.525 0.619
Dy: 0.907 0.097 0.881
Dy: 0.691 0.216 0.597
Dy: 0.475 0.784 0.881
Dy: 0.025 0.407 0.809
Dy: 0.403 0.284 0.309
Dy: 0.025 0.619 0.716
Dy: 0.691 0.475 0.593
Dy: 0.284 0.881 0.975

Values from the calculation:
Its size of the total moment is 0.00 μB per cell. For the density of states at the Fermi level, the calculation gives 14.2 states/eV/f.u. The uncorrected energy is -99.11 eV per formula unit.